1.
## NdYPb2O8 (PBE-GGA)

Data for a relaxed structure of NdYPb2O8.

## Properties
Its formation energy without anion corrections is -20.7 eV/f.u. Its total magnetization is 2.033 μB per formula unit. The calculation puts the total energy at -6.59 eV/atom.

abc: 5.651 5.651 6.699
angles: 114.95 114.95 90.00
Each line ends with the local moment (μB).
Element x y z (fractional)
Pb1 0.500 0.500 0.000  -0.02
Pb2 0.250 0.750 0.500  -0.02
O1 0.365 0.908 0.309  0.22
O2 0.657 0.200 0.799  0.23
O3 0.142 0.599 0.799  0.23
O4 0.401 0.343 0.201  0.23
O5 0.800 0.858 0.201  0.23
O6 0.092 0.056 0.691  0.22
O7 0.944 0.400 0.309  0.22
O8 0.600 0.635 0.691  0.22
Y1 0.750 0.250 0.500  -0.02
Nd1 0.000 0.000 0.000  -0.01


2.
## Pr5Sb4H (PBE-GGA)

Data for a relaxed structure of Pr5Sb4H.

## Properties
Its total magnetization is 0.000 μB per formula unit. The calculation puts the total energy at -5.31 eV/atom.

abc: 6.392 7.773 7.773
angles: 80.27 65.72 65.72
Element x y z (fractional)
Sb1 0.599 0.603 0.200
Sb2 0.799 0.800 0.603
Sb3 0.402 0.397 0.800
Sb4 0.202 0.200 0.397
Pr1 0.439 0.000 0.000
Pr2 0.104 0.594 0.200
Pr3 0.898 0.406 0.800
Pr4 0.304 0.800 0.594
Pr5 0.698 0.200 0.406
H1 0.064 0.000 0.000